1.
DFT (PBE) results for a geometry-optimized Pb2SeF structure.

The formation energy from raw total energies comes out at -0.939 eV/atom. As for the density of states at the Fermi level: 0.5538 states/eV/atom. Its electronic total energy is -4.132 eV per atom.

Unit cell a=7.5783 b=7.5783 c=7.0114 alpha=90.00 beta=90.00 gamma=90.00
Space group I-42d (No. 122)
One atom of each set of equivalent atoms:
Pb: 0.2149 0.2500 0.1250 x8
Se: 0.0000 0.0000 0.5000 x4
F: 0.0000 0.0000 0.0000 x4

***

2.
DFT (PBE) results for a geometry-optimized PrPaSe3 structure.

The formation energy from raw total energies comes out at -1.609 eV/atom. As for the density of states at the Fermi level: 0.9639 states/eV/atom. Its electronic total energy is -6.554 eV per atom.

Unit cell a=7.8292 b=4.1121 c=16.3271 alpha=90.00 beta=90.00 gamma=90.00
Space group Pnma (No. 62)
One atom of each set of equivalent atoms:
Pr: 0.1004 0.2500 0.2028 x4
Pa: 0.2369 0.7500 0.4592 x4
Se: 0.0034 0.2500 0.3994 x4
Se: 0.1198 0.7500 0.0667 x4
Se: 0.1794 0.2500 0.7828 x4

***

3.
DFT (PBE) results for a geometry-optimized BaWN3 structure.

The formation energy from raw total energies comes out at 0.738 eV/atom. As for the density of states at the Fermi level: 0.6586 states/eV/atom. Its electronic total energy is -7.232 eV per atom.

Unit cell a=4.0324 b=4.0324 c=5.2761 alpha=90.00 beta=90.00 gamma=90.00
Space group P4mm (No. 99)
One atom of each set of equivalent atoms:
Ba: 0.0000 0.0000 0.0000 x1
W: 0.5000 0.5000 0.4741 x1
N: 0.0000 0.0000 0.4993 x1
N: 0.0000 0.5000 0.4700 x2

***

4.
DFT (PBE) results for a geometry-optimized Cd2InSb structure.

The formation energy from raw total energies comes out at 0.067 eV/atom. As for the density of states at the Fermi level: 0.3843 states/eV/atom. Its electronic total energy is -2.106 eV per atom.

Unit cell a=4.3577 b=4.4120 c=5.4059 alpha=90.00 beta=90.00 gamma=90.00
Space group Pmmm (No. 47)
One atom of each set of equivalent atoms:
Cd: 0.0000 0.0000 0.0000 x1
Cd: 0.5000 0.0000 0.5000 x1
In: 0.0000 0.5000 0.5000 x1
Sb: 0.5000 0.5000 0.0000 x1